A plane-wave DFT calculation with PBE was carried out for an optimized crystal structure of AcH4Rh2.

The space group is I4/m (No. 87) and the conventional cell measures 5.8169, 5.8169 and 5.4412 Å, with angles of 90.00, 90.00 and 90.00 degrees. The inequivalent atoms are Ac at (0.0000, 0.0000, 0.0000), H at (0.0439, 0.3153, 0.5000) and Rh at (0.0000, 0.5000, 0.2500).

Its uncorrected energy is -4.92 eV per atom. For the volume, the calculation gives 184.11 Å³ per cell.



A plane-wave DFT calculation with PBE was carried out for an optimized crystal structure of Ac2H4Rh.

The space group is I4/mmm (No. 139) and the conventional cell measures 3.8478, 3.8478 and 14.6793 Å, with angles of 90.00, 90.00 and 90.00 degrees. The inequivalent atoms are Ac at (0.0000, 0.0000, 0.1365), H at (0.0000, 0.0000, 0.3776), H at (0.0000, 0.5000, 0.0000) and Rh at (0.0000, 0.0000, 0.5000).

Its uncorrected energy is -4.56 eV per atom. For the volume, the calculation gives 217.33 Å³ per cell.



A plane-wave DFT calculation with PBE was carried out for an optimized crystal structure of Ac4HRh2.

The space group is R-3m (No. 166, hexagonal axes) and the conventional cell measures 4.2991, 4.2991 and 40.4767 Å, with angles of 90.00, 90.00 and 120.00 degrees. The inequivalent atoms are Ac at (0.0000, 0.0000, 0.1212), Ac at (0.0000, 0.0000, 0.2932), H at (0.0000, 0.0000, 0.0000) and Rh at (0.0000, 0.0000, 0.4148).

The distance to the lowest polymorph of the same formula is 0 meV per atom. For the volume, the calculation gives 647.87 Å³ per cell.



A plane-wave DFT calculation with PBE was carried out for an optimized crystal structure of AcH2Rh2.

The space group is Pm (No. 6) and the conventional cell measures 3.9682, 3.9668 and 4.8782 Å, with angles of 90.00, 90.02 and 90.00 degrees. The inequivalent atoms are Ac at (0.0000, 0.0000, 0.0000), H at (0.0087, 0.0000, 0.5000), H at (0.5002, 0.5000, 0.5000), Rh at (0.9999, 0.5000, 0.5057) and Rh at (0.5015, 0.0000, 0.4945).

The distance to the lowest polymorph of the same formula is 0 meV per atom. For the volume, the calculation gives 76.79 Å³ per cell.



A plane-wave DFT calculation with PBE was carried out for an optimized crystal structure of AcH7Rh2.

The space group is Cmmm (No. 65) and the conventional cell measures 5.2544, 9.3634 and 3.7482 Å, with angles of 90.00, 90.00 and 90.00 degrees. The inequivalent atoms are Ac at (0.0000, 0.0000, 0.0000), H at (0.0000, 0.3209, 0.0000), H at (0.0000, 0.5000, 0.5000), H at (0.1774, 0.1529, 0.5000) and Rh at (0.0000, 0.3173, 0.5000).

Its uncorrected energy is -4.57 eV per atom. For the volume, the calculation gives 184.41 Å³ per cell.



A plane-wave DFT calculation with PBE was carried out for an optimized crystal structure of AcH9Rh2.

The space group is I4_1/amd (No. 141, origin choice 2) and the conventional cell measures 6.8183, 6.8183 and 8.3250 Å, with angles of 90.00, 90.00 and 90.00 degrees. The inequivalent atoms are Ac at (0.0000, 0.2500, 0.3750), H at (0.0000, 0.2500, 0.8750), H at (0.1397, 0.0987, 0.6193) and Rh at (0.0000, 0.0000, 0.0000).

Its uncorrected energy is -4.10 eV per atom. For the volume, the calculation gives 387.02 Å³ per cell.



A plane-wave DFT calculation with PBE was carried out for an optimized crystal structure of Ac6HRh5.

The space group is C2/m (No. 12) and the conventional cell measures 7.3829, 12.7515 and 7.3523 Å, with angles of 90.00, 109.29 and 90.00 degrees. The inequivalent atoms are Ac at (0.2487, 0.0000, 0.2478), Ac at (0.2491, 0.1675, 0.7479), H at (0.0000, 0.5000, 0.0000), Rh at (0.0000, 0.0000, 0.5000), Rh at (0.0000, 0.1677, 0.0000) and Rh at (0.0000, 0.3416, 0.5000).

Its uncorrected energy is -6.01 eV per atom. For the volume, the calculation gives 653.32 Å³ per cell.



A plane-wave DFT calculation with PBE was carried out for an optimized crystal structure of AcH12Rh6.

The space group is R-3 (No. 148, hexagonal axes) and the conventional cell measures 9.1537, 9.1537 and 6.7813 Å, with angles of 90.00, 90.00 and 120.00 degrees. The inequivalent atoms are Ac at (0.0000, 0.0000, 0.0000), H at (0.0398, 0.4176, 0.5621), H at (0.0647, 0.1879, 0.3804) and Rh at (0.0784, 0.5027, 0.3077).

Its uncorrected energy is -4.79 eV per atom. For the volume, the calculation gives 492.08 Å³ per cell.



Number 1 is which compound?
AcH4Rh2